A plane-wave DFT calculation with PBE+U was carried out for NaAlMoF6 after structural relaxation.

```
NaAlMoF6
1.0
5.462 0.000 0.000
-2.731 4.730 0.000
0.000 0.000 9.503
Na Al Mo F
2 2 2 12
Cartesian
0.000 0.000 0.000
0.000 0.000 4.751
0.000 3.153 2.376
2.731 1.577 7.127
0.000 3.153 7.127
2.731 1.577 2.376
-0.764 1.830 1.351
-1.529 3.153 3.401
0.764 1.830 3.401
-0.764 4.477 1.351
1.967 0.253 6.102
1.202 1.577 8.152
1.529 3.153 1.351
0.764 4.477 3.401
3.495 0.253 8.152
1.966 2.900 6.102
4.259 1.577 6.102
3.495 2.900 8.152
```

Properties
- symmetry = P-31c
- E (eV per atom) = -5.352